Computed, not measured: a relaxed AgSn2Br6 crystal at the PBE level of DFT.

Lattice parameters (Å, degrees): 6.8693 6.8693 12.8393 90.00 90.00 90.00
Closest atoms and distances in Å follow each position.
Sites, in units of the cell vectors:
Ag 0.0000 0.0000 0.0000  6 Br 2.88-2.90
Ag 0.5000 0.5000 0.5000  6 Br 2.88-2.90
Sn 0.0000 0.0000 0.3331  6 Br 2.90-2.91
Sn 0.0000 0.0000 0.6669  6 Br 2.90-2.91
Sn 0.5000 0.5000 0.1669  6 Br 2.90-2.91
Sn 0.5000 0.5000 0.8331  6 Br 2.90-2.91
Br 0.2007 0.2007 0.1651  1 Ag 2.88, 2 Sn 2.91
Br 0.2012 0.2012 0.5000  2 Sn 2.90, 1 Ag 2.90
Br 0.2007 0.2007 0.8349  1 Ag 2.88, 2 Sn 2.91
Br 0.2988 0.7012 0.0000  2 Sn 2.90, 1 Ag 2.90
Br 0.2993 0.7007 0.3349  1 Ag 2.88, 2 Sn 2.91
Br 0.2993 0.7007 0.6651  1 Ag 2.88, 2 Sn 2.91
Br 0.7012 0.2988 0.0000  2 Sn 2.90, 1 Ag 2.90
Br 0.7007 0.2993 0.3349  1 Ag 2.88, 2 Sn 2.91
Br 0.7007 0.2993 0.6651  1 Ag 2.88, 2 Sn 2.91
Br 0.7993 0.7993 0.1651  1 Ag 2.88, 2 Sn 2.91
Br 0.7988 0.7988 0.5000  2 Sn 2.90, 1 Ag 2.90
Br 0.7993 0.7993 0.8349  1 Ag 2.88, 2 Sn 2.91

Properties
formation energy without anion corrections	-0.59	eV per atom
E	-2.9129	eV/atom

=====

Computed, not measured: a relaxed La3B2PtRh9 crystal at the PBE level of DFT.

Lattice parameters (Å, degrees): 5.8387 5.8387 8.9381 90.00 90.00 120.00
Closest atoms and distances in Å follow each position.
Sites, in units of the cell vectors:
La 0.0000 0.0000 0.0000  12 Rh 2.92-2.93
La 0.3333 0.6667 0.6352  6 Rh 3.04
La 0.6667 0.3333 0.3648  6 Rh 3.04
B 0.3333 0.6667 0.1445  6 Rh 2.06-2.12
B 0.6667 0.3333 0.8555  6 Rh 2.06-2.12
Pt 0.0000 0.0000 0.5000  6 Rh 2.62
Rh 0.0000 0.5000 0.0000  2 B 2.12
Rh 0.1630 0.3260 0.2716  1 B 2.06
Rh 0.1630 0.8370 0.2716  1 B 2.06
Rh 0.3260 0.1630 0.7284  1 B 2.06
Rh 0.5000 0.0000 0.0000  2 B 2.12
Rh 0.5000 0.5000 0.0000  2 B 2.12
Rh 0.6740 0.8370 0.2716  1 B 2.06
Rh 0.8370 0.1630 0.7284  1 B 2.06
Rh 0.8370 0.6740 0.7284  1 B 2.06

Properties
E	-7.2013	eV/atom

=====

Computed, not measured: a relaxed Sc6TlPt crystal at the PBE level of DFT.

Lattice parameters (Å, degrees): 5.7399 5.7399 6.0384 98.66 98.66 110.76
Closest atoms and distances in Å follow each position.
Sites, in units of the cell vectors:
Sc 0.1269 0.6763 0.7340  1 Pt 2.72, 1 Sc 3.03
Sc 0.2458 0.2458 0.9548  1 Pt 2.79
Sc 0.3237 0.8731 0.2660  1 Pt 2.72, 1 Sc 3.03
Sc 0.6763 0.1269 0.7340  1 Pt 2.72, 1 Sc 3.03
Sc 0.7542 0.7542 0.0452  1 Pt 2.79
Sc 0.8731 0.3237 0.2660  1 Pt 2.72, 1 Sc 3.03
Tl 0.5000 0.5000 0.5000  10 Sc 3.10-3.38, 2 Pt 3.26
Pt 0.0000 0.0000 0.5000  6 Sc 2.72-2.79

Properties
E	-6.1514	eV/atom

=====

Computed, not measured: a relaxed YW crystal at the PBE level of DFT.

Lattice parameters (Å, degrees): 8.5815 7.7672 5.3724 79.26 62.78 37.96
Closest atoms and distances in Å follow each position.
Sites, in units of the cell vectors:
Y 0.0392 0.7108 0.0392  2 W 2.92, 3 Y 3.02-3.20
Y 0.2892 0.9608 0.2892  2 W 2.92, 3 Y 3.02-3.20
Y 0.7108 0.0392 0.7108  2 W 2.92, 3 Y 3.02-3.20
Y 0.9608 0.2892 0.9608  2 W 2.92, 3 Y 3.02-3.20
W 0.2934 0.2934 0.4566  1 W 2.37
W 0.4566 0.4566 0.2934  1 W 2.37
W 0.5434 0.5434 0.7066  1 W 2.37
W 0.7066 0.7066 0.5434  1 W 2.37

Properties
E	-9.1389	eV/atom

=====

Q: What is the E in the first record?
A: -2.9129 eV/atom

=====

Q: Look up the E of the first one.
A: -2.9129 eV/atom

=====

Q: What is the E in the first record?
A: -2.9129 eV/atom

=====

Q: Look up the E of the fourth one.
A: -9.1389 eV/atom